No. 1
Compound: NdSmPu2Se4
Source: Alexandria
Functional: GGA-PBE
Structure: relaxed

Cell: 7.2074 4.1622 7.2586 Å, 90.00 109.34 90.00°
Closest atoms and distances in Å follow each position.
Sites, in units of the cell vectors:
Nd1 0.0000 0.0000 0.0000  6 Se 2.98
Sm1 0.5000 0.5000 0.0000  6 Se 2.96
Pu1 0.0000 0.5000 0.5000  6 Se 2.94
Pu2 0.5000 0.0000 0.5000  6 Se 2.92
Se1 0.2506 0.0000 0.7454  3 Pu 2.92-2.94, 2 Sm 2.96, 1 Nd 2.98
Se2 0.2542 0.5000 0.2563  3 Pu 2.92-2.94, 1 Sm 2.96, 2 Nd 2.98
Se3 0.7458 0.5000 0.7437  3 Pu 2.92-2.94, 1 Sm 2.96, 2 Nd 2.98
Se4 0.7494 0.0000 0.2546  3 Pu 2.92-2.94, 2 Sm 2.96, 1 Nd 2.98

Results
As for the formation energy (no corrections): -1.699 eV per atom.



No. 2
Compound: CaYTh2
Source: Alexandria
Functional: GGA-PBE
Structure: relaxed

Cell: 3.5070 3.5070 38.7728 Å, 90.00 90.00 120.00°
Closest atoms and distances in Å follow each position.
Sites, in units of the cell vectors:
Ca1 0.0000 0.0000 0.0000  2 Th 3.47, 6 Ca 3.51
Ca2 0.3333 0.6667 0.6667  2 Th 3.47, 6 Ca 3.51
Ca3 0.6667 0.3333 0.3333  2 Th 3.47, 6 Ca 3.51
Y1 0.0000 0.0000 0.5000  6 Y 3.51, 6 Th 3.62
Y2 0.3333 0.6667 0.1667  6 Y 3.51, 6 Th 3.61-3.62
Y3 0.6667 0.3333 0.8333  6 Y 3.51, 6 Th 3.61-3.62
Th1 0.0000 0.0000 0.0894  1 Ca 3.47, 6 Th 3.51, 3 Y 3.62
Th2 0.0000 0.0000 0.9106  1 Ca 3.47, 6 Th 3.51, 3 Y 3.62
Th3 0.3333 0.6667 0.5772  1 Ca 3.47, 6 Th 3.51, 3 Y 3.62
Th4 0.3333 0.6667 0.7561  1 Ca 3.47, 6 Th 3.51, 3 Y 3.61
Th5 0.6667 0.3333 0.2439  1 Ca 3.47, 6 Th 3.51, 3 Y 3.61
Th6 0.6667 0.3333 0.4228  1 Ca 3.47, 6 Th 3.51, 3 Y 3.62

Results
The calculation puts the excess energy over the best structure of this formula in the dataset at 0.109 eV/atom. Its energy of formation from the pure elements is 0.240 eV/atom.



No. 3
Compound: Na4PmTm3S8
Source: Alexandria
Functional: GGA-PBE
Structure: relaxed

Cell: 8.1076 8.1076 8.1076 Å, 58.70 58.70 58.70°
Closest atoms and distances in Å follow each position.
Sites, in units of the cell vectors:
Na1 0.0000 0.0000 0.0000  6 S 2.89
Na2 0.0000 0.5000 0.5000  6 S 2.95-2.96
Na3 0.5000 0.0000 0.5000  6 S 2.95-2.96
Na4 0.5000 0.5000 0.0000  6 S 2.95-2.96
Pm1 0.5000 0.5000 0.5000  6 S 2.80
Tm1 0.0000 0.0000 0.5000  6 S 2.73-2.74
Tm2 0.0000 0.5000 0.0000  6 S 2.73-2.74
Tm3 0.5000 0.0000 0.0000  6 S 2.73-2.74
S1 0.2335 0.7466 0.7466  2 Tm 2.73, 1 Pm 2.80, 3 Na 2.89-2.96
S2 0.2409 0.2409 0.2409  3 Tm 2.74, 3 Na 2.95
S3 0.2534 0.2534 0.7665  2 Tm 2.73, 1 Pm 2.80, 3 Na 2.89-2.96
S4 0.2534 0.7665 0.2534  2 Tm 2.73, 1 Pm 2.80, 3 Na 2.89-2.96
S5 0.7466 0.2335 0.7466  2 Tm 2.73, 1 Pm 2.80, 3 Na 2.89-2.96
S6 0.7466 0.7466 0.2335  2 Tm 2.73, 1 Pm 2.80, 3 Na 2.89-2.96
S7 0.7591 0.7591 0.7591  3 Tm 2.74, 3 Na 2.95
S8 0.7665 0.2534 0.2534  2 Tm 2.73, 1 Pm 2.80, 3 Na 2.89-2.96

Results
As for the formation energy (no corrections): -1.839 eV per atom.



The evaluated energy for the records listed, in turn: -0.3017 -0.2053 -0.1973 Ha/atom.